(1)
Ni3Cl: relaxed, GGA-PBE.

Summary:
Formation energy without anion corrections: 344 meV/atom
SG: No. 12
Total magnetization: 2.2 Bohr magnetons per cell
Density of states at the Fermi level: 2.1824 states/eV per atom
DFT total energy: -4.45 eV/atom

```
Ni3Cl
1.0
2.8388 -0.2103 0.1152
1.6061 2.3502 0.1152
1.1809 0.5685 7.4088
Ni Cl
3 1
Direct
0.5000 0.5000 0.5000
0.2505 0.2505 0.2513
0.7495 0.7495 0.7487
0.0000 0.0000 0.0000
```

=====

(2)
Ni2Cl: relaxed, GGA-PBE.

Summary:
Formation energy without anion corrections: 554 meV/atom
SG: No. 123
Total magnetization: 1.1 Bohr magnetons per cell
Density of states at the Fermi level: 1.7115 states/eV per atom
DFT total energy: -3.92 eV/atom

```
Ni2Cl
1.0
3.4092 0.0000 0.0000
0.0000 3.4092 0.0000
0.0000 0.0000 3.7775
Ni Cl
2 1
Direct
0.5000 0.0000 0.5000
0.0000 0.5000 0.5000
0.0000 0.0000 0.0000
```

=====

(3)
Ni2Cl: relaxed, GGA-PBE.

Summary:
Formation energy without anion corrections: -80 meV/atom
SG: No. 12
Total magnetization: 3.4 Bohr magnetons per cell
Density of states at the Fermi level: 1.2635 states/eV per atom
DFT total energy: -4.55 eV/atom

```
Ni2Cl
1.0
1.9220 -0.8519 -7.7548
2.8046 2.5247 -7.0935
3.2626 -1.0242 0.8751
Ni Cl
4 2
Direct
0.9402 0.9402 0.7541
0.0598 0.0598 0.2459
0.5529 0.5529 0.7466
0.4471 0.4471 0.2534
0.6572 0.6572 0.2421
0.3428 0.3428 0.7579
```

=====

(4)
Ni3Cl: relaxed, GGA-PBE.

Summary:
Formation energy without anion corrections: 251 meV/atom
SG: No. 59
Total magnetization: 5.1 Bohr magnetons per cell
Density of states at the Fermi level: 1.8033 states/eV per atom
DFT total energy: -4.55 eV/atom

```
Ni3Cl
1.0
3.9544 0.0000 0.0000
0.0000 4.7942 0.0000
0.0000 0.0000 7.5895
Ni Cl
6 2
Direct
0.0000 0.5000 0.8055
0.5000 0.7555 0.9167
0.0000 0.7445 0.0833
0.5000 0.2445 0.9167
0.5000 0.0000 0.1945
0.0000 0.2555 0.0833
0.5000 0.5000 0.6401
0.0000 0.0000 0.3599
```

=====

(5)
Ni3Cl4: relaxed, GGA-PBE.

Summary:
Formation energy without anion corrections: 518 meV/atom
SG: No. 191
Total magnetization: 2.9 Bohr magnetons per cell
Density of states at the Fermi level: 1.8343 states/eV per atom
DFT total energy: -3.01 eV/atom

```
Ni3Cl4
1.0
2.7453 -4.7549 0.0000
2.7453 4.7549 0.0000
0.0000 0.0000 4.5130
Cl Ni
4 3
Direct
0.0000 0.0000 0.2515
0.3333 0.6667 0.5000
0.0000 0.0000 0.7485
0.6667 0.3333 0.5000
0.5000 0.0000 0.0000
0.5000 0.5000 0.0000
0.0000 0.5000 0.0000
```

=====

(6)
NiCl4: relaxed, GGA-PBE.

Summary:
Formation energy without anion corrections: 259 meV/atom
SG: No. 229
Total magnetization: 0.0 Bohr magnetons per cell
Density of states at the Fermi level: 1.1725 states/eV per atom
DFT total energy: -2.37 eV/atom

```
NiCl4
1.0
0.6900 3.9695 3.1270
-4.4814 0.4758 -2.3879
0.0335 -4.3225 2.7069
Cl Ni
4 1
Direct
0.5000 0.5000 0.5000
0.5000 0.0000 0.0000
0.0000 0.5000 0.0000
0.0000 0.0000 0.5000
0.0000 0.0000 0.0000
```

=====

(7)
Ni2Cl: relaxed, GGA-PBE.

Summary:
Formation energy without anion corrections: 558 meV/atom
SG: No. 141
Total magnetization: 3.0 Bohr magnetons per cell
Density of states at the Fermi level: 1.6772 states/eV per atom
DFT total energy: -3.91 eV/atom

```
Ni2Cl
1.0
4.8217 -7.3373 5.1811
4.5032 -4.3691 8.0350
-6.4814 5.0814 -6.0083
Ni Cl
4 2
Direct
0.5788 0.5788 0.0000
0.3288 0.8288 0.5000
0.1712 0.6712 0.5000
0.4212 0.4212 0.0000
0.7500 0.2500 0.5000
0.0000 0.0000 0.0000
```

=====

(8)
Ni2Cl: relaxed, GGA-PBE.

Summary:
Formation energy without anion corrections: 420 meV/atom
SG: No. 58
Total magnetization: 2.1 Bohr magnetons per cell
Density of states at the Fermi level: 1.0834 states/eV per atom
DFT total energy: -4.05 eV/atom

```
Ni2Cl
1.0
3.0976 0.0000 0.0000
0.0000 3.6093 0.0000
0.0000 0.0000 7.6212
Cl Ni
2 4
Direct
0.5000 0.5000 0.5000
0.0000 0.0000 0.0000
0.5000 0.2724 0.2109
0.5000 0.7276 0.7891
0.0000 0.2276 0.7109
0.0000 0.7724 0.2891
```

=====

(9)
NiCl8: relaxed, GGA-PBE.

Summary:
Formation energy without anion corrections: 79 meV/atom
SG: No. 139
Total magnetization: 0.3 Bohr magnetons per cell
Density of states at the Fermi level: 1.3385 states/eV per atom
DFT total energy: -2.20 eV/atom

```
NiCl8
1.0
7.2728 0.0000 4.0671
3.6364 5.5628 2.0335
0.9213 0.0000 6.8888
Cl Ni
8 1
Direct
0.0000 0.2751 0.7249
0.6671 0.0000 0.6658
0.0000 0.7249 0.2751
0.3329 0.3342 0.0000
0.3329 0.0000 0.3342
0.6671 0.6658 0.0000
0.7249 0.2751 0.2751
0.2751 0.7249 0.7249
0.0000 0.0000 0.0000
```

=====

(10)
Ni3Cl4: relaxed, GGA-PBE.

Summary:
Formation energy without anion corrections: -245 meV/atom
SG: No. 65
Total magnetization: 4.0 Bohr magnetons per cell
Density of states at the Fermi level: 0.8116 states/eV per atom
DFT total energy: -3.78 eV/atom

```
Ni3Cl4
1.0
-4.2532 3.0292 -3.1043
1.6476 -4.8348 -3.2882
-2.4873 -1.9027 1.5513
Cl Ni
4 3
Direct
0.2468 0.7532 0.0000
0.2701 0.2701 0.5000
0.7532 0.2468 0.0000
0.7299 0.7299 0.5000
0.5000 0.0000 0.5000
0.0000 0.5000 0.5000
0.5000 0.5000 0.0000
```

=====

(11)
Ni3Cl: relaxed, GGA-PBE.

Summary:
Formation energy without anion corrections: 310 meV/atom
SG: No. 123
Total magnetization: 2.2 Bohr magnetons per cell
Density of states at the Fermi level: 0.9620 states/eV per atom
DFT total energy: -4.49 eV/atom

```
Ni3Cl
1.0
-2.4815 1.4055 0.7670
0.3875 -0.8455 2.8030
3.1611 4.9970 1.0702
Ni Cl
3 1
Direct
0.0000 0.0000 0.5000
0.5000 0.5000 0.7109
0.5000 0.5000 0.2891
0.0000 0.0000 0.0000
```

=====

(12)
RbNpNi2Cl8: relaxed, GGA-PBE.

Summary:
Formation energy without anion corrections: -1149 meV/atom
SG: No. 148
Total magnetization: 0.0 Bohr magnetons per cell
Density of states at the Fermi level: 1.2006 states/eV per atom
DFT total energy: -4.50 eV/atom

```
RbNpNi2Cl8
1.0
6.3824 0.0000 0.0000
3.1912 5.5274 0.0000
3.1912 1.8425 10.0335
Ni Cl Np Rb
2 8 1 1
Direct
0.2495 0.2495 0.2515
0.7505 0.7505 0.7485
0.7260 0.0415 0.8431
0.1775 0.1775 0.4676
0.6106 0.2740 0.1569
0.2740 0.9585 0.1569
0.0415 0.3894 0.8431
0.8225 0.8225 0.5324
0.3894 0.7260 0.8431
0.9585 0.6106 0.1569
0.0000 0.0000 0.0000
0.5000 0.5000 0.5000
```